VASP calculation (PBE-GGA) on an optimized crystal structure of TmScAs.

The energy of formation from the pure elements is -816 meV per atom. Its total energy is -322.2 eV/cell. The calculation puts the density of states at the Fermi level at 0.5656 states/eV/atom.

Unit cell a=11.9032 b=11.9032 c=10.7364 alpha=90.00 beta=90.00 gamma=120.00
Closest atoms and distances in Å follow each position.
Space group R-3 (No. 148, hexagonal axes)
Inequivalent atoms, fractional coordinates:
Tm 0.0328 0.1958 0.3810  4 As 2.77-3.06
Sc 0.0508 0.1870 0.8844  3 As 2.73-2.88
As 0.0438 0.4332 0.3172  3 Sc 2.73-2.88, 3 Tm 2.77-2.88